(1)
Computed, not measured: a geometry-optimized Ce3PrIr8 structure at the PBE-GGA level of DFT.

Properties
ΔE to the lowest computed polymorph, meV per atom: 0
SG: R3m
Crystal system: trigonal

Cell lengths 5.413, 5.413, 9.366 Å; angles 73.21, 73.21, 60.00 degrees
Sites, in units of the cell vectors:
1 Ce 0.375 0.375 0.875
2 Ce 0.000 0.000 0.999
3 Ce 0.499 0.499 0.502
4 Pr 0.875 0.875 0.375
5 Ir 0.940 0.438 0.185
6 Ir 0.435 0.937 0.690
7 Ir 0.438 0.438 0.185
8 Ir 0.937 0.937 0.690
9 Ir 0.187 0.187 0.438
10 Ir 0.687 0.687 0.938
11 Ir 0.438 0.940 0.185
12 Ir 0.937 0.435 0.690

(2)
Computed, not measured: a geometry-optimized CePrIr structure at the PBE-GGA level of DFT.

Properties
ΔE to the lowest computed polymorph, meV per atom: 0
SG: Amm2
Crystal system: orthorhombic

Cell lengths 7.415, 8.884, 8.884 Å; angles 65.79, 65.34, 65.34 degrees
Each line ends with the local moment (μB).
Sites, in units of the cell vectors:
1 Ce 0.012 0.000 0.000  0.22
2 Ce 0.012 0.500 0.500  0.22
3 Ce 0.752 0.372 0.372  0.25
4 Ce 0.496 0.628 0.628  0.25
5 Ce 0.496 0.128 0.128  0.25
6 Ce 0.752 0.872 0.872  0.25
7 Pr 0.168 0.043 0.543  0.02
8 Pr 0.753 0.957 0.457  0.02
9 Pr 0.340 0.750 0.250  0.02
10 Pr 0.339 0.250 0.750  0.02
11 Pr 0.753 0.457 0.957  0.02
12 Pr 0.168 0.543 0.043  0.02
13 Ir 0.756 0.250 0.750  -0.01
14 Ir 0.756 0.750 0.250  -0.01
15 Ir 0.084 0.168 0.168  -0.01
16 Ir 0.419 0.832 0.832  -0.01
17 Ir 0.419 0.332 0.332  -0.01
18 Ir 0.084 0.668 0.668  -0.01

(3)
Computed, not measured: a geometry-optimized Ce2Pr5Ir4 structure at the PBE-GGA level of DFT.

Properties
SG: C2/m
Crystal system: monoclinic

Cell lengths 3.818, 7.717, 24.074 Å; angles 152.39, 94.55, 90.00 degrees
Each line ends with the local moment (μB).
Sites, in units of the cell vectors:
1 Ce 0.272 0.004 0.544  0.24
2 Ce 0.728 0.996 0.456  0.24
3 Pr 0.149 0.990 0.298  0.00
4 Pr 0.851 0.010 0.702  0.00
5 Pr 0.577 0.974 0.153  0.00
6 Pr 0.500 0.000 0.000  0.00
7 Pr 0.423 0.026 0.847  0.00
8 Ir 0.631 0.623 0.262  -0.01
9 Ir 0.976 0.560 0.952  0.00
10 Ir 0.369 0.377 0.738  -0.01
11 Ir 0.024 0.440 0.048  0.00

(4)
Computed, not measured: a geometry-optimized CePr3Ir3 structure at the PBE-GGA level of DFT.

Properties
ΔE to the lowest computed polymorph, meV per atom: 82
SG: C2/m
Crystal system: monoclinic

Cell lengths 7.114, 7.114, 7.233 Å; angles 89.81, 89.81, 92.74 degrees
Sites, in units of the cell vectors:
1 Ce 0.771 0.771 0.872
2 Ce 0.229 0.229 0.128
3 Pr 0.678 0.678 0.396
4 Pr 0.177 0.823 0.500
5 Pr 0.823 0.177 0.500
6 Pr 0.260 0.740 0.000
7 Pr 0.740 0.260 0.000
8 Pr 0.322 0.322 0.604
9 Ir 0.932 0.932 0.187
10 Ir 0.964 0.515 0.712
11 Ir 0.515 0.964 0.712
12 Ir 0.036 0.485 0.288
13 Ir 0.485 0.036 0.288
14 Ir 0.068 0.068 0.813

(5)
Computed, not measured: a geometry-optimized Ce2Pr2Ir3 structure at the PBE-GGA level of DFT.

Properties
ΔE to the lowest computed polymorph, meV per atom: 0
SG: I2_13
Crystal system: cubic

Cell lengths 7.652, 7.652, 7.652 Å; angles 109.47, 109.47, 109.47 degrees
Each line ends with the local moment (μB).
Sites, in units of the cell vectors:
1 Ce 0.000 0.000 0.886  0.52
2 Ce 0.500 0.886 0.500  0.52
3 Ce 0.114 0.614 0.614  0.52
4 Ce 0.386 0.500 0.000  0.52
5 Pr 0.500 0.373 0.500  0.02
6 Pr 0.000 0.000 0.373  0.02
7 Pr 0.627 0.127 0.127  0.02
8 Pr 0.873 0.500 0.000  0.02
9 Ir 0.750 0.634 0.384  -0.03
10 Ir 0.250 0.866 0.116  -0.03
11 Ir 0.616 0.750 0.866  -0.03
12 Ir 0.884 0.250 0.634  -0.03
13 Ir 0.366 0.116 0.750  -0.03
14 Ir 0.134 0.384 0.250  -0.03

(6)
Computed, not measured: a geometry-optimized Ce3PrIr structure at the PBE-GGA level of DFT.

Properties
SG: P2_1/m
Crystal system: monoclinic

Cell lengths 5.902, 7.349, 7.398 Å; angles 119.79, 90.00, 90.00 degrees
Sites, in units of the cell vectors:
1 Ce 0.750 0.613 0.854
2 Ce 0.250 0.817 0.635
3 Ce 0.250 0.387 0.146
4 Ce 0.750 0.183 0.365
5 Ce 0.250 0.759 0.146
6 Ce 0.750 0.241 0.854
7 Pr 0.750 0.704 0.407
8 Pr 0.250 0.296 0.593
9 Ir 0.000 0.000 0.000
10 Ir 0.500 0.000 0.000

(7)
Computed, not measured: a geometry-optimized CePrIr structure at the PBE-GGA level of DFT.

Properties
ΔE to the lowest computed polymorph, meV per atom: 88
SG: F-43m
Crystal system: cubic

Cell lengths 4.935, 4.935, 4.935 Å; angles 60.00, 60.00, 60.00 degrees
Each line ends with the local moment (μB).
Sites, in units of the cell vectors:
1 Pr 0.000 0.000 0.000  0.09
2 Ir 0.250 0.250 0.250  -0.03
3 Ce 0.500 0.500 0.500  0.82

(8)
Computed, not measured: a geometry-optimized Ce5PrIr5 structure at the PBE-GGA level of DFT.

Properties
SG: C2/m
Crystal system: monoclinic

Cell lengths 5.741, 6.995, 8.139 Å; angles 106.80, 90.00, 114.23 degrees
Each line ends with the local moment (μB).
Sites, in units of the cell vectors:
1 Ce 0.668 0.337 0.329  0.15
2 Ce 0.673 0.345 0.844  0.31
3 Ce 0.000 0.000 0.500  0.48
4 Ce 0.327 0.655 0.156  0.31
5 Ce 0.332 0.663 0.671  0.15
6 Pr 0.000 0.000 0.000  0.01
7 Ir 0.834 0.668 0.181  -0.03
8 Ir 0.828 0.655 0.650  -0.03
9 Ir 0.500 0.000 0.000  -0.02
10 Ir 0.172 0.345 0.350  -0.03
11 Ir 0.166 0.332 0.819  -0.03

(9)
Computed, not measured: a geometry-optimized CePrIr structure at the PBE-GGA level of DFT.

Properties
ΔE to the lowest computed polymorph, meV per atom: 80
SG: P3m1
Crystal system: trigonal

Cell lengths 6.324, 4.146, 4.146 Å; angles 120.00, 90.00, 90.00 degrees
Each line ends with the local moment (μB).
Sites, in units of the cell vectors:
1 Pr 0.753 0.667 0.333  0.07
2 Ir 0.013 0.000 0.000  -0.05
3 Ce 0.234 0.333 0.667  0.70

(10)
Computed, not measured: a geometry-optimized CePrIrPt structure at the PBE-GGA level of DFT.

Properties
ΔE to the lowest computed polymorph, meV per atom: 147
SG: F-43m
Crystal system: cubic

Cell lengths 5.050, 5.050, 5.050 Å; angles 60.00, 60.00, 60.00 degrees
Each line ends with the local moment (μB).
Sites, in units of the cell vectors:
1 Pr 0.500 0.500 0.500  0.07
2 Ir 0.250 0.250 0.250  -0.04
3 Ce 0.000 0.000 0.000  0.70
4 Pt 0.750 0.750 0.750  0.00

(11)
Computed, not measured: a geometry-optimized CePrIrPt structure at the PBE-GGA level of DFT.

Properties
ΔE to the lowest computed polymorph, meV per atom: 0
SG: Amm2
Crystal system: orthorhombic

Cell lengths 3.906, 4.208, 6.081 Å; angles 90.00, 108.73, 90.00 degrees
Sites, in units of the cell vectors:
1 Ce 0.869 0.500 0.738
2 Pr 0.144 0.000 0.289
3 Ir 0.403 0.000 0.806
4 Pt 0.584 0.500 0.167

(12)
Computed, not measured: a geometry-optimized CePrIrRh structure at the PBE-GGA level of DFT.

Properties
ΔE to the lowest computed polymorph, meV per atom: 107
SG: F-43m
Crystal system: cubic

Cell lengths 4.995, 4.995, 4.995 Å; angles 60.00, 60.00, 60.00 degrees
Each line ends with the local moment (μB).
Sites, in units of the cell vectors:
1 Pr 0.250 0.250 0.250  0.02
2 Ir 0.000 0.000 0.000  -0.05
3 Rh 0.500 0.500 0.500  -0.06
4 Ce 0.750 0.750 0.750  0.48

no.,formation energy (eV/atom),DOS at the Fermi energy (states/eV per atom)
1,-0.74,1.357
2,-0.52,1.823
3,-0.21,1.069
4,-0.52,0.717
5,-0.62,1.425
6,-0.25,1.912
7,-0.44,2.636
8,-0.61,1.608
9,-0.44,2.291
10,-0.77,1.885
11,-0.92,1.150
12,-0.61,1.227